Entry i
Here is an optimized crystal structure of NaCa3La from Alexandria. Energies are from PBE-GGA.

Density in g/cm³: 1.83
DOS at the Fermi energy in states/eV/cell: 6.67
Crystal system: cubic
Space group: Pm-3m (221)

abc: 6.355 6.355 6.355
angles: 90.00 90.00 90.00
Positions (direct):
Na: 0.500 0.500 0.500
Ca: 0.000 0.500 0.000
Ca: 0.000 0.000 0.500
Ca: 0.500 0.000 0.000
La: 0.000 0.000 0.000


Entry ii
Here is an optimized crystal structure of NaCa3La from Alexandria. Energies are from PBE-GGA.

Density in g/cm³: 2.20
DOS at the Fermi energy in states/eV/cell: 8.86
Crystal system: cubic
Space group: Pm-3m (221)

abc: 5.971 5.971 5.971
angles: 90.00 90.00 90.00
Positions (direct):
Na: 0.000 0.000 0.000
Ca: 0.000 0.500 0.000
Ca: 0.000 0.000 0.500
Ca: 0.500 0.000 0.000
La: 0.500 0.500 0.500


Compare the structures above. Which one is the most stable? entry ii is.